NaNiI2O8 | PBE with a Hubbard U | relaxed

Cell and atoms, written as POSCAR:
```
NaNiI2O8
1.0
-3.581 3.581 3.389
3.581 -3.581 3.389
3.581 3.581 -3.389
Na Ni I O
1 1 2 8
Direct
0.000 0.000 0.000
0.250 0.750 0.500
0.500 0.500 0.000
0.750 0.250 0.500
0.328 0.122 0.794
0.328 0.535 0.206
0.389 0.079 0.309
0.465 0.672 0.794
0.770 0.079 0.691
0.878 0.672 0.206
0.921 0.230 0.309
0.921 0.611 0.691
```

Summary:
The value obtained for the final energy is -50.59 eV per formula unit. The calculation puts the theoretical density at 4.43 g cm⁻³. As for the space group: No. 119. For the density of states at the Fermi level, the calculation gives 2.14 states/eV per cell.